Entry 1:
NiAs2Ru after structural relaxation, computed with PBE.

a = 9.6610 Å, b = 9.6610 Å, c = 9.6610 Å
α = 17.55°, β = 17.55°, γ = 17.55°
Atoms (fractional coordinates):
As (0.0267, 0.0267, 0.0267)
As (0.2208, 0.2208, 0.2208)
Ni (0.4968, 0.4968, 0.4968)
Ru (0.7557, 0.7557, 0.7557)

Summary:
energy above the most stable polymorph in this dataset = 17.8 kJ per mole of atoms
energy of formation = 0.07 eV per atom
DOS(E_F) = 2.28 states/eV per cell
VASP energy = -24.1 eV per cell

---

Entry 2:
Sb4AsAu after structural relaxation, computed with PBE.

a = 6.1304 Å, b = 6.1304 Å, c = 6.1304 Å
α = 60.00°, β = 60.00°, γ = 60.00°
Atoms (fractional coordinates):
Sb (0.8761, 0.3746, 0.3746)
Sb (0.3746, 0.3746, 0.8761)
Sb (0.3746, 0.8761, 0.3746)
Sb (0.3746, 0.3746, 0.3746)
As (0.7500, 0.7500, 0.7500)
Au (0.0000, 0.0000, 0.0000)

Summary:
DOS(E_F) = 5.96 states/eV per cell
VASP energy = -20.7 eV per cell

---

Entry 3:
PrDyYMg after structural relaxation, computed with PBE.

a = 3.6962 Å, b = 3.6962 Å, c = 9.0206 Å
α = 90.00°, β = 90.00°, γ = 90.00°
Atoms (fractional coordinates):
Pr (0.0000, 0.0000, 0.0730)
Dy (0.5000, 0.5000, 0.3499)
Y (0.5000, 0.5000, 0.7915)
Mg (0.0000, 0.0000, 0.5704)

Summary:
energy above the most stable polymorph in this dataset = 0.0 kJ per mole of atoms
energy of formation = -0.03 eV per atom
DOS(E_F) = 5.80 states/eV per cell
VASP energy = -17.6 eV per cell

---

Entry 4:
Rb2ReHCl6 after structural relaxation, computed with PBE.

a = 7.8788 Å, b = 7.8788 Å, c = 7.1911 Å
α = 56.78°, β = 56.78°, γ = 90.00°
Atoms (fractional coordinates):
Re (0.0000, 0.0000, 0.0000)
H (0.5000, 0.5000, 0.0000)
Rb (0.7500, 0.2500, 0.5000)
Rb (0.2500, 0.7500, 0.5000)
Cl (0.3275, 0.3275, 0.3451)
Cl (0.6725, 0.6725, 0.6549)
Cl (0.2116, 0.2116, 0.0000)
Cl (0.7884, 0.7884, 0.0000)
Cl (0.7884, 0.2116, 0.0000)
Cl (0.2116, 0.7884, 0.0000)

Summary:
DOS(E_F) = 0.00 states/eV per cell
VASP energy = -38.7 eV per cell

---

Entry 5:
La3ZnN after structural relaxation, computed with PBE.

a = 8.2730 Å, b = 7.0870 Å, c = 5.5126 Å
α = 67.10°, β = 90.00°, γ = 73.46°
Atoms (fractional coordinates):
Zn (0.2844, 0.5854, 0.4914)
Zn (0.7845, 0.5854, 0.4915)
La (0.6240, 0.1772, 0.6954)
La (0.5251, 0.6118, 0.9780)
La (0.4243, 0.0017, 0.2833)
La (0.1448, 0.1685, 0.6996)
La (0.0440, 0.5585, 0.0049)
La (0.9451, 0.9931, 0.2874)
N (0.4361, 0.9831, 0.7900)
N (0.1330, 0.1872, 0.1931)

Summary:
energy above the most stable polymorph in this dataset = 6.6 kJ per mole of atoms
DOS(E_F) = 8.62 states/eV per cell
VASP energy = -55.0 eV per cell

---

Entry 6:
CeCuPd2 after structural relaxation, computed with PBE.

a = 5.4587 Å, b = 7.1401 Å, c = 15.0536 Å
α = 90.00°, β = 90.00°, γ = 90.00°
Atoms (fractional coordinates):
Ce (0.4890, 0.2500, 0.1436)
Ce (0.9890, 0.7500, 0.3564)
Ce (0.5110, 0.7500, 0.8564)
Ce (0.0110, 0.2500, 0.6436)
Ce (0.7277, 0.2500, 0.3936)
Ce (0.2277, 0.7500, 0.1064)
Ce (0.2723, 0.7500, 0.6064)
Ce (0.7723, 0.2500, 0.8936)
Cu (0.2140, 0.2500, 0.3204)
Cu (0.7140, 0.7500, 0.1796)
Cu (0.7860, 0.7500, 0.6796)
Cu (0.2860, 0.2500, 0.8204)
Cu (0.9986, 0.2500, 0.0721)
Cu (0.4986, 0.7500, 0.4279)
Cu (0.0014, 0.7500, 0.9279)
Cu (0.5014, 0.2500, 0.5721)
Pd (0.9566, 0.0473, 0.2152)
Pd (0.4566, 0.9527, 0.2848)
Pd (0.0434, 0.5473, 0.7848)
Pd (0.5434, 0.4527, 0.7152)
Pd (0.0434, 0.9527, 0.7848)
Pd (0.5434, 0.0473, 0.7152)
Pd (0.9566, 0.4527, 0.2152)
Pd (0.4566, 0.5473, 0.2848)
Pd (0.7358, 0.5470, 0.0345)
Pd (0.2358, 0.4530, 0.4655)
Pd (0.2642, 0.0470, 0.9655)
Pd (0.7642, 0.9530, 0.5345)
Pd (0.2642, 0.4530, 0.9655)
Pd (0.7642, 0.5470, 0.5345)
Pd (0.7358, 0.9530, 0.0345)
Pd (0.2358, 0.0470, 0.4655)

Summary:
energy of formation = -0.54 eV per atom
DOS(E_F) = 49.52 states/eV per cell
VASP energy = -180.7 eV per cell

---

Entry 7:
ThScAl2 after structural relaxation, computed with PBE.

a = 4.3259 Å, b = 4.6282 Å, c = 4.6282 Å
α = 90.00°, β = 90.00°, γ = 90.00°
Atoms (fractional coordinates):
Sc (0.5000, 0.0000, 0.0000)
Al (0.0000, 0.0000, 0.5000)
Al (0.0000, 0.5000, 0.0000)
Th (0.5000, 0.5000, 0.5000)

Summary:
energy above the most stable polymorph in this dataset = 7.7 kJ per mole of atoms
energy of formation = -0.26 eV per atom
DOS(E_F) = 4.44 states/eV per cell
VASP energy = -22.3 eV per cell

---

Entry 8:
GeTe4Pd after structural relaxation, computed with PBE.

a = 7.7485 Å, b = 7.7485 Å, c = 7.7485 Å
α = 106.22°, β = 106.22°, γ = 116.18°
Atoms (fractional coordinates):
Ge (0.7501, 0.7501, 0.0000)
Ge (0.5001, 0.0001, 0.5000)
Te (0.2451, 0.9398, 0.6947)
Te (0.7557, 0.4465, 0.6907)
Te (0.6898, 0.4951, 0.1947)
Te (0.1965, 0.0057, 0.1907)
Te (0.3004, 0.4951, 0.8053)
Te (0.8150, 0.0057, 0.8093)
Te (0.7557, 0.0650, 0.3093)
Te (0.2451, 0.5504, 0.3053)
Pd (0.2482, 0.2482, 0.0000)
Pd (0.9982, 0.4982, 0.5000)

Summary:
energy above the most stable polymorph in this dataset = 21.2 kJ per mole of atoms
DOS(E_F) = 8.80 states/eV per cell
VASP energy = -44.2 eV per cell

---

Entry 9:
HfCr2Re after structural relaxation, computed with PBE.

a = 3.0599 Å, b = 3.0599 Å, c = 6.2877 Å
α = 90.00°, β = 90.00°, γ = 90.00°
Atoms (fractional coordinates):
Re (0.5000, 0.5000, 0.0000)
Hf (0.5000, 0.5000, 0.5000)
Cr (0.0000, 0.0000, 0.7705)
Cr (0.0000, 0.0000, 0.2295)

Summary:
energy above the most stable polymorph in this dataset = 3.2 kJ per mole of atoms
energy of formation = 0.00 eV per atom
DOS(E_F) = 3.56 states/eV per cell
VASP energy = -41.7 eV per cell

---

Entry 10:
PrDyCo2 after structural relaxation, computed with PBE.

a = 4.8339 Å, b = 4.8339 Å, c = 4.8339 Å
α = 60.00°, β = 60.00°, γ = 60.00°
Atoms (fractional coordinates):
Pr (0.5000, 0.5000, 0.5000)
Co (0.2500, 0.2500, 0.2500)
Co (0.7500, 0.7500, 0.7500)
Dy (0.0000, 0.0000, 0.0000)

Summary:
energy above the most stable polymorph in this dataset = 9.5 kJ per mole of atoms
energy of formation = -0.01 eV per atom
DOS(E_F) = 1.28 states/eV per cell
VASP energy = -23.6 eV per cell

---

Entry 11:
Zn4Rh after structural relaxation, computed with PBE.

a = 5.2382 Å, b = 5.2382 Å, c = 5.8115 Å
α = 90.00°, β = 90.00°, γ = 90.00°
Atoms (fractional coordinates):
Zn (0.1079, 0.2696, 0.3472)
Zn (0.8921, 0.7304, 0.3472)
Zn (0.2696, 0.8921, 0.6528)
Zn (0.7304, 0.1079, 0.6528)
Zn (0.3921, 0.7696, 0.1528)
Zn (0.6079, 0.2304, 0.1528)
Zn (0.2304, 0.3921, 0.8472)
Zn (0.7696, 0.6079, 0.8472)
Rh (0.0000, 0.0000, 0.0000)
Rh (0.5000, 0.5000, 0.5000)

Summary:
energy of formation = -0.10 eV per atom
DOS(E_F) = 1.86 states/eV per cell
VASP energy = -25.9 eV per cell

---

Entry 12:
KScPbI6 after structural relaxation, computed with PBE.

a = 7.9827 Å, b = 7.9827 Å, c = 15.2586 Å
α = 90.00°, β = 90.00°, γ = 120.00°
Atoms (fractional coordinates):
K (0.0000, 0.0000, 0.0000)
K (0.0000, 0.0000, 0.5000)
Sc (0.6667, 0.3333, 0.2500)
Sc (0.3333, 0.6667, 0.7500)
Pb (0.3333, 0.6667, 0.2500)
Pb (0.6667, 0.3333, 0.7500)
I (0.6501, 0.6189, 0.1370)
I (0.9687, 0.3499, 0.1370)
I (0.3499, 0.9687, 0.6370)
I (0.0313, 0.6501, 0.8630)
I (0.3811, 0.3499, 0.3630)
I (0.9687, 0.6189, 0.3630)
I (0.6189, 0.9687, 0.8630)
I (0.6501, 0.0313, 0.3630)
I (0.0313, 0.3811, 0.6370)
I (0.3811, 0.0313, 0.1370)
I (0.6189, 0.6501, 0.6370)
I (0.3499, 0.3811, 0.8630)

Summary:
DOS(E_F) = 0.00 states/eV per cell
VASP energy = -60.5 eV per cell

---

Let's list ρ in order: 7.19, 7.74, 5.61, 3.36, 5.82, 9.43, 5.93, 6.46, 13.22, 8.76, 7.59, 4.15 g/cm³.